A plane-wave DFT calculation with GGA+U was carried out for a relaxed Nd2AlCrO6 crystal.

Output
DOS at the Fermi energy: 0.0 states/eV/cell
size of the total moment: 3.00 μB per formula unit
total energy: -79.6 eV per cell

Lattice parameters (Å, degrees): 5.412 5.412 3.851 90.00 90.00 90.00
Space group P4/mmm (No. 123)
Asymmetric unit:
Nd 0.000 0.500 0.000 [2 per cell]
Al 0.000 0.000 0.500 [1 per cell]
Cr 0.500 0.500 0.500 [1 per cell]
O 0.000 0.000 0.000 [1 per cell]
O 0.244 0.244 0.500 [4 per cell]
O 0.500 0.500 0.000 [1 per cell]